The following is a DFT calculation (PBE+U) of a relaxed Ni2SbPdO6 crystal.

Summary:
Symmetry: P4mm (99)
Density: 5.34 Mg/m³
Raw total energy: -4.95 eV/atom
Total moment: 5.414 μB/f.u.

a b c (Å): 5.880 5.880 3.972
angles (deg): 90.00 90.00 90.00
Fractional coordinates of all 10 atoms:
Ni (0.000, 0.500, 0.000)
Ni (0.500, 0.000, 0.000)
Sb (0.000, 0.000, 0.863)
Pd (0.500, 0.500, 0.842)
O (0.000, 0.000, 0.376)
O (0.239, 0.239, 0.914)
O (0.239, 0.761, 0.914)
O (0.500, 0.500, 0.348)
O (0.761, 0.239, 0.914)
O (0.761, 0.761, 0.914)